No. 1
Material: CdNiMo
Method: DFT, PBE
State: relaxed

Properties
Energy (eV for the cell shown): -17.0
Total magnetic moment (μB per formula unit): 0.00

Lattice parameters (Å, degrees): 6.171 6.171 2.822 76.78 76.78 26.43
Element x y z (fractional)
Cd  0.009  0.009  0.991
Ni  0.677  0.677  0.323
Mo  0.314  0.314  0.686

No. 2
Material: CaAl3Pd
Method: DFT, PBE
State: relaxed

Properties
Energy (eV for the cell shown): -19.7
Total magnetic moment (μB per formula unit): 0.00

Lattice parameters (Å, degrees): 4.791 4.791 4.791 90.00 90.00 90.00
Element x y z (fractional)
Al  0.000  0.000  0.500
Al  0.000  0.500  0.000
Pd  0.000  0.000  0.000
Ca  0.500  0.500  0.500
Al  0.500  0.000  0.000

No. 3
Material: KWCl
Method: DFT, PBE
State: relaxed

Properties
ΔE_f (raw) (eV/atom): 1.589
Energy (eV for the cell shown): -11.1
Total magnetic moment (μB per formula unit): 5.90

Lattice parameters (Å, degrees): 5.474 5.474 5.474 60.00 60.00 60.00
Element x y z (fractional)
W  0.000  0.000  0.000
Cl  0.500  0.500  0.500
K  0.750  0.750  0.750

No. 4
Material: NbIn2Br6
Method: DFT, PBE
State: relaxed

Properties
ΔE_f (raw) (eV/atom): -0.771
Energy (eV for the cell shown): -32.5
Total magnetic moment (μB per formula unit): 1.00

Lattice parameters (Å, degrees): 7.321 7.452 7.452 60.87 66.38 66.38
Element x y z (fractional)
Nb  0.000  0.000  0.000
Br  0.300  0.788  0.788
Br  0.186  0.817  0.302
Br  0.700  0.212  0.212
Br  0.186  0.302  0.817
Br  0.814  0.183  0.698
In  0.796  0.736  0.736
Br  0.814  0.698  0.183
In  0.204  0.264  0.264

No. 5
Material: Hf3Rh5
Method: DFT, PBE
State: relaxed

Properties
Energy (eV for the cell shown): -148.0
Total magnetic moment (μB per formula unit): 0.00

Lattice parameters (Å, degrees): 4.288 5.614 10.916 90.00 90.00 90.00
Element x y z (fractional)
Rh  0.000  0.399  0.742
Rh  0.000  0.899  0.758
Rh  0.000  0.101  0.242
Hf  0.500  0.343  0.146
Hf  0.500  0.657  0.854
Rh  0.000  0.000  0.500
Hf  0.500  0.157  0.646
Hf  0.000  0.500  0.500
Rh  0.500  0.817  0.107
Rh  0.500  0.183  0.893
Rh  0.500  0.317  0.393
Hf  0.500  0.843  0.354
Rh  0.000  0.500  0.000
Rh  0.000  0.601  0.258
Rh  0.500  0.683  0.607
Hf  0.000  0.000  0.000

No. 6
Material: AcMg2P
Method: DFT, PBE
State: relaxed

Properties
Energy (eV for the cell shown): -14.2
Total magnetic moment (μB per formula unit): 0.00

Lattice parameters (Å, degrees): 5.454 4.411 4.411 90.00 90.00 90.00
Element x y z (fractional)
Mg  0.000  0.500  0.000
Mg  0.000  0.000  0.500
P  0.500  0.000  0.000
Ac  0.500  0.500  0.500

No. 7
Material: PmHg4Au
Method: DFT, PBE
State: relaxed

Properties
Energy (eV for the cell shown): -21.2
Total magnetic moment (μB per formula unit): 0.00

Lattice parameters (Å, degrees): 5.225 7.066 11.361 90.00 136.14 90.00
Element x y z (fractional)
Hg  0.036  0.250  0.025
Pm  0.916  0.250  0.342
Hg  0.845  0.750  0.297
Hg  0.616  0.485  0.677
Hg  0.384  0.515  0.323
Pm  0.084  0.750  0.658
Hg  0.964  0.750  0.975
Hg  0.616  0.015  0.677
Hg  0.384  0.985  0.323
Au  0.500  0.500  0.000
Au  0.500  0.000  0.000
Hg  0.155  0.250  0.703

No. 8
Material: Ca16Al12Zn
Method: DFT, PBE
State: relaxed

Properties
Energy (eV for the cell shown): -82.7
Total magnetic moment (μB per formula unit): 0.00

Lattice parameters (Å, degrees): 9.613 9.613 11.517 112.65 112.65 104.83
Element x y z (fractional)
Ca  0.413  0.646  0.002
Ca  0.623  0.002  0.000
Al  0.814  0.629  0.668
Al  0.629  0.814  0.668
Al  0.187  0.807  0.851
Al  0.993  0.383  0.176
Al  0.183  0.999  0.297
Ca  0.996  0.996  0.992
Al  0.383  0.993  0.176
Ca  0.002  0.623  0.000
Ca  0.646  0.413  0.002
Al  0.999  0.183  0.297
Ca  0.995  0.393  0.705
Al  0.820  0.820  0.115
Ca  0.580  0.240  0.577
Ca  0.377  0.377  0.340
Ca  0.006  0.006  0.715
Al  0.807  0.187  0.851
Ca  0.746  0.983  0.363
Al  0.620  0.620  0.802
Al  0.360  0.165  0.019
Al  0.165  0.360  0.019
Ca  0.249  0.249  0.610
Ca  0.983  0.746  0.363
Ca  0.747  0.356  0.338
Ca  0.356  0.747  0.338
Zn  0.689  0.689  0.432
Ca  0.240  0.580  0.577
Ca  0.393  0.995  0.705